# 1
This record from Alexandria via LeMat-Bulk describes Rb2Na3Sn after structural relaxation. The functional is PBE.

Its raw total energy is -1.63 eV/atom. Its formation energy is 22.9 meV/atom.

The structure belongs to space group Immm (No. 71); the cell edges are 5.803, 6.694 and 14.686 Å and the angles 90.00°, 90.00° and 90.00°. The distinct sites, in fractional coordinates, are Rb at (0.000, 0.000, 0.220), Na at (0.000, 0.500, 0.098), Na at (0.000, 0.500, 0.500) and Sn at (0.000, 0.000, 0.500).

=====

# 2
This record from Alexandria via LeMat-Bulk describes Li4TcW3N8 after structural relaxation. The functional is PBE.

Its raw total energy is -8.17 eV/atom. The calculation puts the uncorrected formation energy at -450 meV/atom.

The structure belongs to space group R-3m (No. 166, hexagonal axes); the cell edges are 5.9467, 5.9467 and 15.5438 Å and the angles 90.00°, 90.00° and 120.00°. The distinct sites, in fractional coordinates, are Li at (0.0000, 0.0000, 0.0000), Li at (0.0000, 0.5000, 0.0000), Tc at (0.0000, 0.0000, 0.5000), W at (0.0000, 0.5000, 0.5000), N at (0.0000, 0.0000, 0.2429) and N at (0.0083, 0.5042, 0.7571).

=====

# 3
This record from Alexandria via LeMat-Bulk describes PaGePd6 after structural relaxation. The functional is PBE.

Its raw total energy is -5.95 eV/atom. Its formation energy is -288.9 meV/atom.

The structure belongs to space group C2/m (No. 12); the cell edges are 7.458, 9.734 and 5.073 Å and the angles 90.00°, 126.65° and 90.00°. The distinct sites, in fractional coordinates, are Pa at (0.000, 0.000, 0.000), Ge at (0.000, 0.500, 0.500), Pd at (0.231, 0.500, 0.235) and Pd at (0.234, 0.286, 0.736).

=====

# 4
This record from Alexandria via LeMat-Bulk describes TaZn4Fe after structural relaxation. The functional is PBE.

Its raw total energy is -4.09 eV/atom. The calculation puts the energy relative to the lowest polymorph listed for this composition at 101 meV/atom. Its formation energy is 141.9 meV/atom.

The structure belongs to space group F-43m (No. 216); the cell edges are 6.999, 6.999 and 6.999 Å and the angles 90.00°, 90.00° and 90.00°. The distinct sites, in fractional coordinates, are Ta at (0.000, 0.000, 0.000), Zn at (0.125, 0.125, 0.375) and Fe at (0.250, 0.250, 0.750).